(1)
! SbSe2Br (PBEsol, relaxed); values from VASP
&SYSTEM
  ibrav = 0, nat = 4, ntyp = 3
/
ATOMIC_SPECIES
Sb 121.76 Sb.upf
Se 78.96 Se.upf
Br 79.90 Br.upf
ATOMIC_POSITIONS crystal
Sb 0.000 0.000 0.000
Se 0.000 0.000 0.474
Se 0.500 0.500 0.273
Br 0.500 0.500 0.737
CELL_PARAMETERS angstrom
1.692 -3.185 0.000
1.692 3.185 0.000
0.000 0.000 9.060
! offset from the most stable computed form	121	meV per atom
! formation energy without anion corrections	14.17	kJ per mole of atoms

---

(2)
! SbSeBr2 (PBEsol, relaxed); values from VASP
&SYSTEM
  ibrav = 0, nat = 4, ntyp = 3
/
ATOMIC_SPECIES
Sb 121.76 Sb.upf
Se 78.96 Se.upf
Br 79.90 Br.upf
ATOMIC_POSITIONS crystal
Sb 0.000 0.000 0.000
Se 0.000 0.000 0.500
Br 0.500 0.500 0.254
Br 0.500 0.500 0.746
CELL_PARAMETERS angstrom
1.764 -2.988 0.000
1.764 2.988 0.000
0.000 0.000 9.194
! offset from the most stable computed form	135	meV per atom
! formation energy without anion corrections	18.88	kJ per mole of atoms

---

(3)
! SbSeBr2 (PBEsol, relaxed); values from VASP
&SYSTEM
  ibrav = 0, nat = 4, ntyp = 3
/
ATOMIC_SPECIES
Sb 121.76 Sb.upf
Se 78.96 Se.upf
Br 79.90 Br.upf
ATOMIC_POSITIONS crystal
Sb 0.000 0.000 0.000
Se 0.750 0.750 0.750
Br 0.250 0.250 0.250
Br 0.500 0.500 0.500
CELL_PARAMETERS angstrom
0.000 3.579 3.579
3.579 0.000 3.579
3.579 3.579 0.000
! offset from the most stable computed form	0	meV per atom
! formation energy without anion corrections	5.81	kJ per mole of atoms

---

(4)
! SbSeBr2 (PBEsol, relaxed); values from VASP
&SYSTEM
  ibrav = 0, nat = 4, ntyp = 3
/
ATOMIC_SPECIES
Sb 121.76 Sb.upf
Se 78.96 Se.upf
Br 79.90 Br.upf
ATOMIC_POSITIONS crystal
Sb 0.000 0.000 0.000
Se 0.500 0.500 0.500
Br 0.250 0.250 0.250
Br 0.750 0.750 0.750
CELL_PARAMETERS angstrom
0.000 3.600 3.600
3.600 0.000 3.600
3.600 3.600 0.000
! offset from the most stable computed form	209	meV per atom
! formation energy without anion corrections	25.94	kJ per mole of atoms

---

Number 3 is which compound? SbSeBr2

---

Which of these has the lowest formation energy without anion corrections? number 3